# 1
DFT (PBEsol) results for KBaHg2 after structural relaxation.

Output
- Energy of formation from the pure elements: -0.253 eV/atom
- Raw total energy: -1.3571 eV/atom

Lattice parameters (Å, degrees): 4.147 4.147 8.682 90.00 90.00 90.00
Space group P4mm (No. 99)
Unique sites:
K (0.000, 0.000, 0.000)
Ba (0.500, 0.500, 0.409)
Hg (0.000, 0.000, 0.609)
Hg (0.500, 0.500, 0.790)


# 2
DFT (PBEsol) results for KBaLiHg2 after structural relaxation.

Output
- Energy of formation from the pure elements: 0.406 eV/atom
- Raw total energy: -0.8703 eV/atom

Lattice parameters (Å, degrees): 6.270 6.270 7.228 90.00 90.00 90.00
Space group P4/mmm (No. 123)
Unique sites:
K (0.000, 0.000, 0.000)
Ba (0.000, 0.000, 0.500)
Li (0.500, 0.500, 0.000)
Hg (0.000, 0.500, 0.500)


# 3
DFT (PBEsol) results for BaLa2Hg after structural relaxation.

Output
- Energy of formation from the pure elements: -0.228 eV/atom
- Raw total energy: -3.5799 eV/atom

Lattice parameters (Å, degrees): 3.871 3.871 9.379 90.00 90.00 90.00
Space group P4mm (No. 99)
Unique sites:
Ba (0.000, 0.000, 0.000)
La (0.000, 0.000, 0.427)
La (0.500, 0.500, 0.667)
Hg (0.500, 0.500, 0.240)


# 4
DFT (PBEsol) results for BaLa2Hg after structural relaxation.

Output
- Energy of formation from the pure elements: -0.208 eV/atom
- Raw total energy: -3.5598 eV/atom

Lattice parameters (Å, degrees): 3.866 5.846 12.302 90.00 90.00 90.00
Space group Immm (No. 71)
Unique sites:
Ba (0.000, 0.000, 0.000)
La (0.000, 0.500, 0.214)
Hg (0.000, 0.000, 0.500)


# 5
DFT (PBEsol) results for BaLa2Hg after structural relaxation.

Output
- Energy of formation from the pure elements: -0.169 eV/atom
- Raw total energy: -3.5214 eV/atom

Lattice parameters (Å, degrees): 3.937 3.937 9.255 90.00 90.00 90.00
Space group P4/mmm (No. 123)
Unique sites:
Ba (0.000, 0.000, 0.000)
La (0.500, 0.500, 0.314)
Hg (0.000, 0.000, 0.500)


# 6
DFT (PBEsol) results for BaLaHg2Mo after structural relaxation.

Output
- Energy of formation from the pure elements: 1.695 eV/atom
- Raw total energy: -2.3847 eV/atom

Lattice parameters (Å, degrees): 5.795 5.795 6.035 90.00 90.00 90.00
Space group P4/mmm (No. 123)
Unique sites:
Ba (0.000, 0.000, 0.000)
La (0.000, 0.000, 0.500)
Hg (0.000, 0.500, 0.000)
Mo (0.500, 0.500, 0.500)


# 7
DFT (PBEsol) results for BaLa2HgO after structural relaxation.

Output
- Energy relative to the elements, uncorrected: -989 meV/atom
- Raw total energy: -4.7201 eV/atom

Lattice parameters (Å, degrees): 4.812 4.812 6.746 90.00 90.00 90.00
Space group P4/mmm (No. 123)
Unique sites:
Ba (0.000, 0.000, 0.000)
La (0.000, 0.500, 0.500)
Hg (0.500, 0.500, 0.000)
O (0.500, 0.500, 0.500)


# 8
DFT (PBEsol) results for BaLaHgRh2 after structural relaxation.

Output
- Energy of formation from the pure elements: 0.621 eV/atom
- Raw total energy: -4.2467 eV/atom

Lattice parameters (Å, degrees): 5.159 5.159 5.355 90.00 90.00 90.00
Space group P4/mmm (No. 123)
Unique sites:
Ba (0.000, 0.000, 0.000)
La (0.500, 0.500, 0.000)
Hg (0.500, 0.500, 0.500)
Rh (0.000, 0.500, 0.500)


# 9
DFT (PBEsol) results for BaLi3Hg after structural relaxation.

Output
- Energy of formation from the pure elements: -0.140 eV/atom
- Raw total energy: -1.8627 eV/atom

Lattice parameters (Å, degrees): 5.194 5.194 5.194 90.00 90.00 90.00
Space group Pm-3m (No. 221)
Unique sites:
Ba (0.000, 0.000, 0.000)
Li (0.000, 0.500, 0.500)
Hg (0.500, 0.500, 0.500)


# 10
DFT (PBEsol) results for BaLiHg after structural relaxation.

Output
- Energy of formation from the pure elements: -0.357 eV/atom
- Raw total energy: -1.9179 eV/atom

Lattice parameters (Å, degrees): 4.9376 4.9376 4.3815 90.00 90.00 120.00
Space group P-6m2 (No. 187)
Unique sites:
Ba (0.0000, 0.0000, 0.0000)
Li (0.6667, 0.3333, 0.5000)
Hg (0.3333, 0.6667, 0.5000)


# 11
DFT (PBEsol) results for BaLiHg after structural relaxation.

Output
- Energy of formation from the pure elements: -0.324 eV/atom
- Raw total energy: -1.8848 eV/atom

Lattice parameters (Å, degrees): 3.951 3.951 11.263 90.00 90.00 90.00
Space group I4mm (No. 107)
Unique sites:
Ba (0.000, 0.000, 0.000)
Li (0.000, 0.000, 0.716)
Hg (0.000, 0.000, 0.314)


# 12
DFT (PBEsol) results for BaLi2HgTe after structural relaxation.

Output
- Energy relative to the elements, uncorrected: 645 meV/atom
- Raw total energy: -1.3901 eV/atom

Lattice parameters (Å, degrees): 5.925 5.925 5.978 90.00 90.00 90.00
Space group P4/mmm (No. 123)
Unique sites:
Ba (0.000, 0.000, 0.000)
Li (0.000, 0.500, 0.000)
Hg (0.000, 0.000, 0.500)
Te (0.500, 0.500, 0.500)